[1]
{"formula": "LiHo8Hg2", "functional": "PBE", "state": "optimized geometry", "lattice_angstrom": [[-1.6340, 4.9617, 0.0170], [-4.3823, -1.4608, 5.1462], [8.3991, 0.0028, 3.8698]], "species": ["Ho", "Ho", "Ho", "Ho", "Ho", "Ho", "Ho", "Ho", "Hg", "Hg", "Li"], "frac_coords": [[0.4080, 0.5423, 0.8161], [0.1922, 0.2946, 0.3845], [0.0258, 0.7703, 0.0516], [0.9742, 0.2297, 0.9484], [0.8078, 0.7054, 0.6155], [0.6625, 0.9637, 0.3249], [0.5920, 0.4577, 0.1839], [0.3375, 0.0363, 0.6751], [0.1892, 0.7180, 0.3783], [0.8108, 0.2820, 0.6217], [0.5000, 0.0000, 0.0000]], "final_energy_ev_per_atom": -3.6889, "n_ef_per_ev_atom": 0.899, "sg": "No. 12", "formation_energy_kj_per_mol_fu": -139}


[2]
{"formula": "Ta2Tl", "functional": "PBE", "state": "optimized geometry", "lattice_angstrom": [[-0.4074, -3.9784, -13.1428], [-0.5251, -9.1230, -10.2578], [-2.4812, 6.6521, 11.7609]], "species": ["Tl", "Tl", "Tl", "Tl", "Ta", "Ta", "Ta", "Ta", "Ta", "Ta", "Ta", "Ta"], "frac_coords": [[0.6696, 0.1696, 0.5000], [0.0804, 0.0804, 0.0000], [0.9196, 0.9196, 0.0000], [0.8304, 0.3304, 0.5000], [0.4990, 0.9990, 0.5000], [0.3326, 0.8326, 0.5000], [0.2510, 0.2510, 0.0000], [0.0010, 0.5010, 0.5000], [0.4174, 0.4174, 0.0000], [0.7490, 0.7490, 0.0000], [0.1674, 0.6674, 0.5000], [0.5826, 0.5826, 0.0000]], "final_energy_ev_per_atom": -8.2771, "n_ef_per_ev_atom": 0.550, "sg": "No. 141", "formation_energy_kj_per_mol_fu": 120}


[3]
{"formula": "PaZn2Ag", "functional": "PBE", "state": "optimized geometry", "lattice_angstrom": [[-0.8151, 1.5255, 4.4568], [3.3669, -0.5123, 3.3551], [2.3102, 3.8364, 1.6734]], "species": ["Ag", "Zn", "Zn", "Pa"], "frac_coords": [[0.0000, 0.0000, 0.0000], [0.7500, 0.7500, 0.7500], [0.2500, 0.2500, 0.2500], [0.5000, 0.5000, 0.5000]], "e_above_lowest_polymorph_ev_per_atom": 0.087, "final_energy_ev_per_atom": -3.6613, "n_ef_per_ev_atom": 1.058, "sg": "No. 225", "formation_energy_kj_per_mol_fu": 24}


[4]
{"formula": "FeTeMo2", "functional": "PBE", "state": "optimized geometry", "lattice_angstrom": [[-0.4165, -3.5872, -3.6703], [2.7904, -4.2579, 0.7727], [-3.6711, 2.9233, 2.1190]], "species": ["Fe", "Mo", "Mo", "Te"], "frac_coords": [[0.2564, 0.7564, 0.5000], [0.0078, 0.0078, 0.0000], [0.7466, 0.2466, 0.5000], [0.4893, 0.4893, 0.0000]], "e_above_lowest_polymorph_ev_per_atom": 0.058, "final_energy_ev_per_atom": -7.9402, "n_ef_per_ev_atom": 1.004, "formation_energy_uncorrected_ev_per_atom": 0.3764, "sg": "No. 44"}